## Pr2Cu2Pd (PBE)

Data for crystalline Pr2Cu2Pd at its relaxed geometry.

The structure in POSCAR format:
```
Pr2Cu2Pd
1.0
7.422 0.000 0.000
0.000 7.422 0.000
0.000 0.000 7.942
Pr Cu Pd
8 8 4
Cartesian
1.342 2.368 0.000
1.343 2.369 3.971
2.368 6.080 0.000
2.369 6.079 3.971
5.054 1.342 0.000
5.053 1.343 3.971
6.080 5.054 0.000
6.079 5.053 3.971
0.878 4.589 1.986
0.878 4.589 5.957
2.832 0.878 1.986
2.832 0.878 5.957
4.589 6.543 1.986
4.589 6.543 5.957
6.543 2.832 1.986
6.543 2.832 5.957
0.000 0.000 1.983
0.000 0.000 5.959
3.711 3.711 1.988
3.711 3.711 5.954
```

Values from the calculation:
space-group type	No. 128
energy above the most stable polymorph in this dataset	72.4	meV per atom
total magnetization	0.0000	μB per atom
calculated volume	109.4	Å³/f.u.